A plane-wave DFT calculation with GGA-PBE was carried out for crystalline K2LaMo at its relaxed geometry.

Results
* DFT total energy: -0.12287 hartree per atom
* formation enthalpy at 0 K: 1.15 eV/atom
* DOS at the Fermi energy: 9.3 states/eV per cell
* energy relative to the lowest polymorph listed for this composition: 430 meV per atom

Lattice parameters (Å, degrees): 4.528 4.528 14.183 80.82 80.82 90.00
Site moments in Bohr magnetons follow the coordinates.
Fractional coordinates of all 8 atoms:
Mo 0.500 0.500 0.000  2.39
Mo 0.250 0.750 0.500  2.39
K 0.613 0.125 0.250  -0.02
K 0.137 0.625 0.250  -0.02
K 0.375 0.387 0.750  -0.02
K 0.875 0.863 0.750  -0.02
La 0.000 0.000 0.000  -0.04
La 0.750 0.250 0.500  -0.04



A plane-wave DFT calculation with GGA-PBE was carried out for crystalline DyNpBi2O8 at its relaxed geometry.

Results
* DFT total energy: -0.28029 hartree per atom
* DOS at the Fermi energy: 1.3 states/eV per cell
* formation energy (no corrections): -2.21 eV per atom

Lattice parameters (Å, degrees): 5.263 5.270 7.032 90.00 90.00 89.68
Site moments in Bohr magnetons follow the coordinates.
Fractional coordinates of all 12 atoms:
Dy 0.000 0.000 0.500  0.00
Np 0.000 0.000 0.000  -0.09
Bi 0.500 0.500 0.740  0.00
Bi 0.500 0.500 0.260  0.00
O 0.179 0.820 0.232  0.00
O 0.741 0.743 0.000  0.00
O 0.821 0.180 0.232  0.00
O 0.821 0.180 0.768  0.00
O 0.259 0.257 0.000  0.00
O 0.179 0.820 0.768  0.00
O 0.692 0.693 0.500  0.00
O 0.308 0.307 0.500  0.00



A plane-wave DFT calculation with GGA-PBE was carried out for crystalline Cu2HgW at its relaxed geometry.

Results
* DFT total energy: -0.16719 hartree per atom
* formation enthalpy at 0 K: 0.81 eV/atom
* DOS at the Fermi energy: 3.8 states/eV per cell

Lattice parameters (Å, degrees): 4.449 4.449 4.449 60.00 60.00 60.00
Site moments in Bohr magnetons follow the coordinates.
Fractional coordinates of all 4 atoms:
Cu 0.000 0.000 0.000  0.01
Cu 0.250 0.250 0.250  0.00
Hg 0.500 0.500 0.500  0.01
W 0.750 0.750 0.750  0.28



A plane-wave DFT calculation with GGA-PBE was carried out for crystalline SrCd11In at its relaxed geometry.

Results
* DFT total energy: -0.04487 hartree per atom
* formation enthalpy at 0 K: -0.11 eV/atom
* DOS at the Fermi energy: 2.5 states/eV per cell

Lattice parameters (Å, degrees): 6.153 7.788 7.779 81.03 66.70 66.79
Fractional coordinates of all 13 atoms:
Sr 0.000 0.000 0.000
Cd 0.280 0.214 0.217
Cd 0.720 0.786 0.783
Cd 0.503 0.786 0.217
Cd 0.497 0.214 0.783
Cd 0.347 0.648 0.643
Cd 0.653 0.352 0.357
Cd 0.009 0.352 0.643
Cd 0.991 0.648 0.357
Cd 0.000 0.500 0.000
Cd 0.500 0.000 0.500
Cd 0.000 0.000 0.500
In 0.500 0.500 0.000



A plane-wave DFT calculation with GGA-PBE was carried out for crystalline TcMoPd at its relaxed geometry.

Results
* DFT total energy: -0.32280 hartree per atom
* formation enthalpy at 0 K: 0.01 eV/atom
* DOS at the Fermi energy: 5.1 states/eV per cell
* energy relative to the lowest polymorph listed for this composition: 0 meV per atom

Lattice parameters (Å, degrees): 2.742 4.462 7.518 90.00 100.51 90.00
Fractional coordinates of all 6 atoms:
Tc 0.779 0.250 0.559
Tc 0.221 0.750 0.441
Mo 0.885 0.750 0.769
Mo 0.115 0.250 0.231
Pd 0.445 0.250 0.890
Pd 0.555 0.750 0.110



A plane-wave DFT calculation with GGA-PBE was carried out for crystalline GaSnPb2 at its relaxed geometry.

Results
* DFT total energy: -0.12816 hartree per atom
* formation enthalpy at 0 K: 0.12 eV/atom
* DOS at the Fermi energy: 1.7 states/eV per cell
* energy relative to the lowest polymorph listed for this composition: 80 meV per atom

Lattice parameters (Å, degrees): 4.670 4.670 6.936 70.33 70.33 60.00
Fractional coordinates of all 4 atoms:
Ga 0.669 0.669 0.993
Sn 0.500 0.500 0.499
Pb 0.072 0.072 0.784
Pb 0.259 0.259 0.224



A plane-wave DFT calculation with GGA-PBE was carried out for crystalline Tl2PbAu2 at its relaxed geometry.

Results
* DFT total energy: -0.10673 hartree per atom
* formation enthalpy at 0 K: 0.09 eV/atom
* DOS at the Fermi energy: 3.6 states/eV per cell
* energy relative to the lowest polymorph listed for this composition: 124 meV per atom

Lattice parameters (Å, degrees): 8.590 8.590 3.470 90.00 90.00 90.00
Fractional coordinates of all 10 atoms:
Pb 0.000 0.000 0.000
Pb 0.500 0.500 0.000
Tl 0.364 0.864 0.000
Tl 0.864 0.636 0.000
Tl 0.636 0.136 0.000
Tl 0.136 0.364 0.000
Au 0.161 0.661 0.500
Au 0.661 0.839 0.500
Au 0.839 0.339 0.500
Au 0.339 0.161 0.500



A plane-wave DFT calculation with GGA-PBE was carried out for crystalline Tb4Tm10Zr at its relaxed geometry.

Results
* DFT total energy: -0.16678 hartree per atom
* formation enthalpy at 0 K: 0.25 eV/atom
* DOS at the Fermi energy: 19.0 states/eV per cell

Lattice parameters (Å, degrees): 7.662 8.714 8.714 78.86 63.92 63.92
Fractional coordinates of all 15 atoms:
Tb 0.228 0.000 0.545
Tb 0.772 0.455 0.000
Tb 0.228 0.545 0.000
Tb 0.772 0.000 0.455
Tm 0.250 0.500 0.500
Tm 0.712 0.207 0.793
Tm 0.082 0.207 0.207
Tm 0.496 0.793 0.793
Tm 0.711 0.793 0.207
Tm 0.288 0.793 0.207
Tm 0.750 0.500 0.500
Tm 0.289 0.207 0.793
Tm 0.504 0.207 0.207
Tm 0.918 0.793 0.793
Zr 0.000 0.000 0.000



A plane-wave DFT calculation with GGA-PBE was carried out for crystalline K2PuCdTe4 at its relaxed geometry.

Results
* DFT total energy: -0.16439 hartree per atom
* DOS at the Fermi energy: 14.0 states/eV per cell
* formation energy (no corrections): -0.72 eV per atom

Lattice parameters (Å, degrees): 7.788 7.155 7.155 72.77 57.03 57.03
Site moments in Bohr magnetons follow the coordinates.
Fractional coordinates of all 8 atoms:
K 0.000 0.500 0.500  0.00
K 0.500 0.500 0.500  0.00
Pu 0.000 0.000 0.000  5.06
Cd 0.500 0.000 0.000  -0.01
Te 0.079 0.371 0.000  -0.17
Te 0.921 0.000 0.629  -0.17
Te 0.550 0.000 0.371  -0.17
Te 0.450 0.629 0.000  -0.17



A plane-wave DFT calculation with GGA-PBE was carried out for crystalline Li2CaPtF8 at its relaxed geometry.

Results
* DFT total energy: -0.17460 hartree per atom
* DOS at the Fermi energy: 0.0 states/eV per cell
* formation energy (no corrections): -2.51 eV per atom

Lattice parameters (Å, degrees): 4.810 4.840 6.757 88.05 88.13 88.64
Fractional coordinates of all 12 atoms:
Li 0.482 0.482 0.722
Li 0.518 0.518 0.278
Ca 0.000 0.000 0.500
Pt 0.000 0.000 0.000
F 0.198 0.802 0.217
F 0.714 0.714 0.017
F 0.801 0.197 0.216
F 0.802 0.198 0.783
F 0.286 0.286 0.983
F 0.199 0.803 0.784
F 0.684 0.685 0.506
F 0.316 0.315 0.494



A plane-wave DFT calculation with GGA-PBE was carried out for crystalline CaRe2Pt at its relaxed geometry.

Results
* DFT total energy: -0.27948 hartree per atom
* formation enthalpy at 0 K: 0.63 eV/atom
* DOS at the Fermi energy: 3.7 states/eV per cell
* energy relative to the lowest polymorph listed for this composition: 540 meV per atom

Lattice parameters (Å, degrees): 3.372 3.372 6.822 90.00 90.00 90.00
Fractional coordinates of all 4 atoms:
Re 0.000 0.000 0.929
Re 0.000 0.000 0.571
Ca 0.500 0.500 0.250
Pt 0.500 0.500 0.750



A plane-wave DFT calculation with GGA-PBE was carried out for crystalline CeSmErTm at its relaxed geometry.

Results
* DFT total energy: -0.17540 hartree per atom
* formation enthalpy at 0 K: 0.15 eV/atom
* DOS at the Fermi energy: 9.0 states/eV per cell

Lattice parameters (Å, degrees): 5.639 5.639 5.639 60.00 60.00 60.00
Site moments in Bohr magnetons follow the coordinates.
Fractional coordinates of all 4 atoms:
Tm 0.250 0.250 0.250  -0.01
Ce 0.500 0.500 0.500  -0.57
Sm 0.000 0.000 0.000  0.00
Er 0.750 0.750 0.750  -0.01



A plane-wave DFT calculation with GGA-PBE was carried out for crystalline BaHfTcO2 at its relaxed geometry.

Results
* DFT total energy: -0.21765 hartree per atom
* DOS at the Fermi energy: 4.4 states/eV per cell
* formation energy (no corrections): 0.51 eV per atom

Lattice parameters (Å, degrees): 4.006 6.279 4.006 90.00 90.00 90.00
Fractional coordinates of all 5 atoms:
Hf 0.500 0.500 0.500
Ba 0.000 0.500 0.000
O 0.000 0.000 0.500
O 0.500 0.000 0.000
Tc 0.000 0.000 0.000



A plane-wave DFT calculation with GGA-PBE was carried out for crystalline Cs5Rb3Au2 at its relaxed geometry.

Results
* DFT total energy: -0.05523 hartree per atom
* formation enthalpy at 0 K: -0.13 eV/atom
* DOS at the Fermi energy: 17.7 states/eV per cell

Lattice parameters (Å, degrees): 14.668 13.648 13.648 44.84 57.50 57.50
Fractional coordinates of all 20 atoms:
Cs 0.250 0.500 0.500
Cs 0.750 0.500 0.500
Cs 0.499 0.751 0.751
Cs 0.001 0.249 0.249
Cs 0.501 0.249 0.249
Cs 0.999 0.751 0.751
Cs 0.130 0.628 0.112
Cs 0.870 0.372 0.888
Cs 0.630 0.112 0.628
Cs 0.370 0.888 0.372
Rb 0.250 0.000 0.000
Rb 0.750 0.000 0.000
Rb 0.367 0.375 0.891
Rb 0.633 0.625 0.109
Rb 0.867 0.891 0.375
Rb 0.133 0.109 0.625
Au 0.255 0.744 0.745
Au 0.745 0.256 0.255
Au 0.755 0.745 0.744
Au 0.245 0.255 0.256



A plane-wave DFT calculation with GGA-PBE was carried out for crystalline CaTlBr2 at its relaxed geometry.

Results
* DFT total energy: -0.11271 hartree per atom
* DOS at the Fermi energy: 3.1 states/eV per cell
* formation energy (no corrections): -1.14 eV per atom
* energy relative to the lowest polymorph listed for this composition: 200 meV per atom

Lattice parameters (Å, degrees): 8.698 8.698 7.194 52.81 52.81 90.00
Site moments in Bohr magnetons follow the coordinates.
Fractional coordinates of all 8 atoms:
Tl 0.000 0.000 0.000  0.14
Tl 0.750 0.250 0.500  0.14
Ca 0.500 0.500 0.000  0.08
Ca 0.250 0.750 0.500  0.08
Br 0.561 0.125 0.250  0.03
Br 0.189 0.625 0.250  0.02
Br 0.375 0.439 0.750  0.03
Br 0.875 0.811 0.750  0.02



A plane-wave DFT calculation with GGA-PBE was carried out for crystalline ZrTlCl2 at its relaxed geometry.

Results
* DFT total energy: -0.14494 hartree per atom
* DOS at the Fermi energy: 3.1 states/eV per cell
* formation energy (no corrections): -0.29 eV per atom
* energy relative to the lowest polymorph listed for this composition: 785 meV per atom

Lattice parameters (Å, degrees): 4.550 4.477 4.477 90.00 90.00 90.00
Fractional coordinates of all 4 atoms:
Tl 0.500 0.500 0.000
Zr 0.500 0.000 0.500
Cl 0.000 0.000 0.000
Cl 0.000 0.500 0.500



A plane-wave DFT calculation with GGA-PBE was carried out for crystalline NdHoLu2 at its relaxed geometry.

Results
* DFT total energy: -0.16780 hartree per atom
* formation enthalpy at 0 K: 0.03 eV/atom
* DOS at the Fermi energy: 6.2 states/eV per cell
* energy relative to the lowest polymorph listed for this composition: 0 meV per atom

Lattice parameters (Å, degrees): 4.950 5.014 5.014 90.00 90.00 90.00
Fractional coordinates of all 4 atoms:
Lu 0.000 0.000 0.500
Lu 0.000 0.500 0.000
Nd 0.500 0.000 0.000
Ho 0.500 0.500 0.500



A plane-wave DFT calculation with GGA-PBE was carried out for crystalline ZrTl2InTe5 at its relaxed geometry.

Results
* DFT total energy: -0.14592 hartree per atom
* DOS at the Fermi energy: 6.9 states/eV per cell
* formation energy (no corrections): -0.45 eV per atom

Lattice parameters (Å, degrees): 4.124 10.311 15.061 90.00 90.00 101.54
Fractional coordinates of all 18 atoms:
Zr 0.788 0.575 0.534
Zr 0.212 0.425 0.034
Tl 0.873 0.746 0.824
Tl 0.116 0.232 0.665
Tl 0.127 0.254 0.324
Tl 0.884 0.768 0.165
In 0.563 0.126 0.924
In 0.437 0.874 0.424
Te 0.351 0.701 0.002
Te 0.703 0.406 0.890
Te 0.495 0.991 0.765
Te 0.284 0.568 0.668
Te 0.942 0.883 0.552
Te 0.649 0.299 0.502
Te 0.297 0.594 0.390
Te 0.505 0.009 0.265
Te 0.716 0.432 0.168
Te 0.058 0.117 0.052



A plane-wave DFT calculation with GGA-PBE was carried out for crystalline Ba2Au at its relaxed geometry.

Results
* DFT total energy: -0.10450 hartree per atom
* formation enthalpy at 0 K: -0.47 eV/atom
* DOS at the Fermi energy: 6.9 states/eV per cell

Lattice parameters (Å, degrees): 6.908 6.908 6.908 108.45 108.45 111.53
Fractional coordinates of all 6 atoms:
Au 0.750 0.750 0.000
Au 0.250 0.250 0.000
Ba 0.310 0.190 0.500
Ba 0.690 0.810 0.500
Ba 0.190 0.690 0.881
Ba 0.810 0.310 0.119



A plane-wave DFT calculation with GGA-PBE was carried out for crystalline Ni2H2Rh at its relaxed geometry.

Results
* DFT total energy: -0.18446 hartree per atom
* DOS at the Fermi energy: 8.2 states/eV per cell
* energy relative to the lowest polymorph listed for this composition: 83 meV per atom

Lattice parameters (Å, degrees): 4.901 4.901 3.700 90.00 90.00 90.00
Fractional coordinates of all 10 atoms:
Ni 0.181 0.681 0.500
Ni 0.681 0.819 0.500
Ni 0.819 0.319 0.500
Ni 0.319 0.181 0.500
Rh 0.000 0.000 0.000
Rh 0.500 0.500 0.000
H 0.177 0.677 0.000
H 0.677 0.823 0.000
H 0.823 0.323 0.000
H 0.323 0.177 0.000